# MgInCoPb, optimized geometry, DFT PBE
data_MgInCoPb
_chemical_formula_sum 'Mg1 In1 Co1 Pb1'
_symmetry_space_group_name_H-M 'P 1'
_symmetry_Int_Tables_number 1
_symmetry_space_group_name_Hall 'P 1'
_cell_length_a 4.809
_cell_length_b 4.809
_cell_length_c 4.809
_cell_angle_alpha 60.00
_cell_angle_beta 60.00
_cell_angle_gamma 60.00
loop_
_atom_site_label
_atom_site_fract_x
_atom_site_fract_y
_atom_site_fract_z
_atom_site_occupancy
Mg1 0.000 0.000 0.000 1
In1 0.750 0.750 0.750 1
Co1 0.500 0.500 0.500 1
Pb1 0.250 0.250 0.250 1
# Energy relative to the lowest polymorph listed for this composition   0.0000 eV per atom

# TbBeIr, optimized geometry, DFT PBE
data_TbBeIr
_chemical_formula_sum 'Tb1 Be1 Ir1'
_symmetry_space_group_name_H-M 'P 1'
_symmetry_Int_Tables_number 1
_symmetry_space_group_name_Hall 'P 1'
_cell_length_a 4.418
_cell_length_b 4.418
_cell_length_c 4.418
_cell_angle_alpha 60.00
_cell_angle_beta 60.00
_cell_angle_gamma 60.00
loop_
_atom_site_label
_atom_site_fract_x
_atom_site_fract_y
_atom_site_fract_z
_atom_site_occupancy
Tb1 0.000 0.000 0.000 1
Be1 0.500 0.500 0.500 1
Ir1 0.250 0.250 0.250 1
# Energy relative to the lowest polymorph listed for this composition   0.0937 eV per atom

Here is TmGaCo after structural relaxation from OQMD via LeMat-Bulk. Energies are from PBE.

The structure in CIF format:
```
data_TmGaCo
_chemical_formula_sum 'Tm1 Ga1 Co1'
_symmetry_space_group_name_H-M 'P 1'
_symmetry_Int_Tables_number 1
_symmetry_space_group_name_Hall 'P 1'
_cell_length_a 4.484
_cell_length_b 4.484
_cell_length_c 4.484
_cell_angle_alpha 60.00
_cell_angle_beta 60.00
_cell_angle_gamma 60.00
loop_
_atom_site_label
_atom_site_fract_x
_atom_site_fract_y
_atom_site_fract_z
_atom_site_occupancy
Tm1 0.000 0.000 0.000 1
Ga1 0.250 0.250 0.250 1
Co1 0.750 0.750 0.750 1
```

Here is ZnSb after structural relaxation from OQMD via LeMat-Bulk. Energies are from PBE.

The structure in CIF format:
```
data_ZnSb
_chemical_formula_sum 'Zn4 Sb4'
_symmetry_space_group_name_H-M 'P 1'
_symmetry_Int_Tables_number 1
_symmetry_space_group_name_Hall 'P 1'
_cell_length_a 6.424
_cell_length_b 6.424
_cell_length_c 5.089
_cell_angle_alpha 90.00
_cell_angle_beta 90.00
_cell_angle_gamma 120.00
loop_
_atom_site_label
_atom_site_fract_x
_atom_site_fract_y
_atom_site_fract_z
_atom_site_occupancy
Zn1 0.000 0.000 0.000 1
Zn2 0.144 0.287 0.500 1
Zn3 0.144 0.856 0.500 1
Zn4 0.713 0.856 0.500 1
Sb1 0.012 0.506 0.000 1
Sb2 0.494 0.506 0.000 1
Sb3 0.494 0.988 0.000 1
Sb4 0.667 0.333 0.500 1
```

# PrScBe, optimized geometry, DFT PBE
data_PrScBe
_chemical_formula_sum 'Pr1 Sc1 Be1'
_symmetry_space_group_name_H-M 'P 1'
_symmetry_Int_Tables_number 1
_symmetry_space_group_name_Hall 'P 1'
_cell_length_a 4.728
_cell_length_b 4.728
_cell_length_c 4.728
_cell_angle_alpha 60.00
_cell_angle_beta 60.00
_cell_angle_gamma 60.00
loop_
_atom_site_label
_atom_site_fract_x
_atom_site_fract_y
_atom_site_fract_z
_atom_site_occupancy
Pr1 0.000 0.000 0.000 1
Sc1 0.750 0.750 0.750 1
Be1 0.250 0.250 0.250 1
# Energy relative to the lowest polymorph listed for this composition   0.1826 eV per atom

Here is Sm2YSb3 after structural relaxation from OQMD via LeMat-Bulk. Energies are from PBE.

The structure in CIF format:
```
data_Sm2YSb3
_chemical_formula_sum 'Sm2 Y1 Sb3'
_symmetry_space_group_name_H-M 'P 1'
_symmetry_Int_Tables_number 1
_symmetry_space_group_name_Hall 'P 1'
_cell_length_a 4.441
_cell_length_b 4.441
_cell_length_c 10.888
_cell_angle_alpha 90.00
_cell_angle_beta 90.00
_cell_angle_gamma 120.00
loop_
_atom_site_label
_atom_site_fract_x
_atom_site_fract_y
_atom_site_fract_z
_atom_site_occupancy
Sm1 0.333 0.667 0.332 1
Sm2 0.667 0.333 0.668 1
Y1 0.000 0.000 0.000 1
Sb1 0.000 0.000 0.500 1
Sb2 0.333 0.667 0.837 1
Sb3 0.667 0.333 0.163 1
```

# Zn4Bi3, optimized geometry, DFT PBE
data_Zn4Bi3
_chemical_formula_sum 'Zn8 Bi6'
_symmetry_space_group_name_H-M 'P 1'
_symmetry_Int_Tables_number 1
_symmetry_space_group_name_Hall 'P 1'
_cell_length_a 9.043
_cell_length_b 9.043
_cell_length_c 4.472
_cell_angle_alpha 90.00
_cell_angle_beta 90.00
_cell_angle_gamma 120.00
loop_
_atom_site_label
_atom_site_fract_x
_atom_site_fract_y
_atom_site_fract_z
_atom_site_occupancy
Zn1 0.047 0.195 0.250 1
Zn2 0.148 0.953 0.250 1
Zn3 0.195 0.148 0.750 1
Zn4 0.333 0.667 0.250 1
Zn5 0.667 0.333 0.750 1
Zn6 0.805 0.852 0.250 1
Zn7 0.852 0.047 0.750 1
Zn8 0.953 0.805 0.750 1
Bi1 0.110 0.443 0.750 1
Bi2 0.333 0.890 0.750 1
Bi3 0.443 0.333 0.250 1
Bi4 0.557 0.667 0.750 1
Bi5 0.667 0.110 0.250 1
Bi6 0.890 0.557 0.250 1
# Energy relative to the lowest polymorph listed for this composition   0.0304 eV per atom

# ZrAgMo, optimized geometry, DFT PBE
data_ZrAgMo
_chemical_formula_sum 'Zr1 Ag1 Mo1'
_symmetry_space_group_name_H-M 'P 1'
_symmetry_Int_Tables_number 1
_symmetry_space_group_name_Hall 'P 1'
_cell_length_a 4.490
_cell_length_b 4.490
_cell_length_c 4.490
_cell_angle_alpha 60.00
_cell_angle_beta 60.00
_cell_angle_gamma 60.00
loop_
_atom_site_label
_atom_site_fract_x
_atom_site_fract_y
_atom_site_fract_z
_atom_site_occupancy
Zr1 0.000 0.000 0.000 1
Ag1 0.750 0.750 0.750 1
Mo1 0.500 0.500 0.500 1
# Energy relative to the lowest polymorph listed for this composition   0.0000 eV per atom

no.,volume (Å³ per cell),calculated total energy (eV/cell)
1,79,-13.870
2,61,-17.674
3,64,-13.197
4,182,-19.382
5,75,-11.986
6,186,-35.304
7,317,-32.045
8,64,-19.358